No. 1
The following is a PBE calculation of a relaxed Tc2RuSe crystal, from the Alexandria database.

The structure in POSCAR format:
```
Tc2RuSe
1.0
4.440 0.000 0.000
0.000 3.682 0.000
0.000 0.000 3.682
Ru Se Tc
1 1 2
Direct
0.500 0.500 0.000
0.500 0.000 0.500
0.000 0.000 0.000
0.000 0.500 0.500
```

The size of the total moment comes out at 0.000 μB/atom. Its crystal system is tetragonal. The value obtained for the final energy is -31.33 eV per cell. As for the symmetry: P4/mmm. The volume comes out at 15.046 Å³/atom.

---

No. 2
The following is a PBE calculation of a relaxed Tc2RuSe crystal, from the Alexandria database.

The structure in POSCAR format:
```
Tc2RuSe
1.0
8.577 0.006 0.003
8.098 2.825 0.003
8.098 1.375 2.468
Ru Se Tc
1 1 2
Direct
0.500 0.500 0.500
0.749 0.749 0.749
0.002 0.002 0.002
0.249 0.249 0.249
```

The size of the total moment comes out at 0.000 μB/atom. Its crystal system is trigonal. The value obtained for the final energy is -32.66 eV per cell. As for the symmetry: R3m. The volume comes out at 14.903 Å³/atom.

---

No. 3
The following is a PBE calculation of a relaxed Tc2RuSe crystal, from the Alexandria database.

The structure in POSCAR format:
```
Tc2RuSe
1.0
-0.725 -2.598 0.626
2.086 1.084 1.462
-5.853 3.093 6.059
Ru Se Tc
1 1 2
Direct
0.000 0.000 0.496
0.500 0.500 0.746
0.000 0.000 0.009
0.500 0.500 0.249
```

The size of the total moment comes out at 0.123 μB/atom. Its crystal system is orthorhombic. The value obtained for the final energy is -31.28 eV per cell. As for the symmetry: Cmm2. The volume comes out at 15.398 Å³/atom.

---

No. 4
The following is a PBE calculation of a relaxed Tc2RuSe crystal, from the Alexandria database.

The structure in POSCAR format:
```
Tc2RuSe
1.0
2.777 -0.004 0.000
-1.260 2.475 0.000
0.000 0.000 8.936
Ru Se Tc
1 1 2
Direct
0.500 0.500 0.250
0.500 0.500 0.750
0.000 0.000 0.005
0.000 0.000 0.495
```

The size of the total moment comes out at 0.000 μB/atom. Its crystal system is orthorhombic. The value obtained for the final energy is -31.02 eV per cell. As for the symmetry: Cmmm. The volume comes out at 15.347 Å³/atom.

---

No. 5
The following is a PBE calculation of a relaxed Tc2RuSe crystal, from the Alexandria database.

The structure in POSCAR format:
```
Tc2RuSe
1.0
-2.238 -2.360 2.943
-3.107 -2.793 -1.335
0.662 -4.325 0.304
Ru Se Tc
1 1 2
Direct
0.500 0.500 0.500
0.250 0.250 0.250
0.000 0.000 0.000
0.750 0.750 0.750
```

The size of the total moment comes out at 0.000 μB/atom. Its crystal system is cubic. The value obtained for the final energy is -31.59 eV per cell. As for the symmetry: F-43m. The volume comes out at 14.916 Å³/atom.

---

No. 6
The following is a PBE calculation of a relaxed Tc2RuSe crystal, from the Alexandria database.

The structure in POSCAR format:
```
Tc2RuSe
1.0
-2.233 -1.093 1.584
1.887 -1.721 1.473
0.858 4.827 4.539
Ru Se Tc
1 1 2
Direct
0.500 0.500 0.250
0.500 0.500 0.750
0.000 0.000 0.985
0.000 0.000 0.515
```

The size of the total moment comes out at 0.000 μB/atom. Its crystal system is tetragonal. The value obtained for the final energy is -32.83 eV per cell. As for the symmetry: P4/mmm. The volume comes out at 14.515 Å³/atom.

---

No. 7
The following is a PBE calculation of a relaxed Tc2RuSe crystal, from the Alexandria database.

The structure in POSCAR format:
```
Tc2RuSe
1.0
2.924 0.000 0.000
0.000 3.800 0.000
0.000 0.000 5.437
Ru Se Tc
1 1 2
Direct
0.000 0.000 0.465
0.500 0.500 0.780
0.000 0.000 0.970
0.500 0.500 0.285
```

The size of the total moment comes out at 0.000 μB/atom. Its crystal system is orthorhombic. The value obtained for the final energy is -32.28 eV per cell. As for the symmetry: Pmm2. The volume comes out at 15.105 Å³/atom.

---

No. 8
The following is a PBE calculation of a relaxed Tc2RuSe2 crystal, from the Alexandria database.

The structure in POSCAR format:
```
Tc2RuSe2
1.0
-0.188 -4.492 5.508
5.378 -3.693 -2.827
2.044 1.799 1.537
Ru Tc Se
2 4 4
Direct
0.000 0.000 0.000
0.500 0.500 0.000
0.359 0.859 0.000
0.859 0.641 0.000
0.641 0.141 0.000
0.141 0.359 0.000
0.155 0.655 0.500
0.655 0.845 0.500
0.845 0.345 0.500
0.345 0.155 0.500
```

The size of the total moment comes out at 0.148 μB/atom. Its crystal system is tetragonal. The value obtained for the final energy is -68.92 eV per cell. As for the symmetry: P4/mbm. The excess energy over the best structure of this formula in the dataset comes out at 0 meV per atom. The volume comes out at 15.806 Å³/atom.

---

No. 9
The following is a PBE calculation of a relaxed Tc2RuSe crystal, from the Alexandria database.

The structure in POSCAR format:
```
Tc2RuSe
1.0
-3.161 2.388 0.747
0.274 -0.519 2.816
3.287 3.734 1.969
Ru Se Tc
1 1 2
Direct
0.500 0.250 0.250
0.500 0.750 0.750
0.000 0.880 0.996
0.000 0.620 0.504
```

The size of the total moment comes out at 0.000 μB/atom. Its crystal system is monoclinic. The value obtained for the final energy is -32.49 eV per cell. As for the symmetry: P2/m. The volume comes out at 14.834 Å³/atom.

---

No. 10
The following is a PBE calculation of a relaxed Tc2RuSe crystal, from the Alexandria database.

The structure in POSCAR format:
```
Tc2RuSe
1.0
5.574 0.000 0.000
0.000 5.574 0.000
2.787 2.787 5.437
Ru Tc Se
2 4 2
Direct
0.000 0.000 0.000
0.750 0.250 0.500
0.633 0.125 0.250
0.117 0.625 0.250
0.375 0.367 0.750
0.875 0.883 0.750
0.500 0.500 0.000
0.250 0.750 0.500
```

The size of the total moment comes out at 0.000 μB/atom. Its crystal system is tetragonal. The value obtained for the final energy is -61.30 eV per cell. As for the symmetry: I-42d. The volume comes out at 21.120 Å³/atom.

---

No. 11
The following is a PBE calculation of a relaxed Tc2RuSe crystal, from the Alexandria database.

The structure in POSCAR format:
```
Tc2RuSe
1.0
-1.633 3.175 -3.374
-2.034 0.503 -4.443
-4.154 -0.032 1.634
Ru Se Tc
1 1 2
Direct
0.475 0.475 0.519
0.249 0.249 0.265
0.028 0.028 0.981
0.748 0.748 0.734
```

The size of the total moment comes out at 0.000 μB/atom. Its crystal system is monoclinic. The value obtained for the final energy is -32.50 eV per cell. As for the symmetry: Cm. The volume comes out at 15.192 Å³/atom.

---

No. 12
The following is a PBE calculation of a relaxed Tc2RuSe crystal, from the Alexandria database.

The structure in POSCAR format:
```
Tc2RuSe
1.0
-0.967 1.369 2.445
-1.240 -3.892 1.688
4.106 -0.487 1.896
Ru Se Tc
1 1 2
Direct
0.500 0.000 0.500
0.000 0.500 0.500
0.000 0.000 0.000
0.500 0.500 0.000
```

The size of the total moment comes out at 0.000 μB/atom. Its crystal system is orthorhombic. The value obtained for the final energy is -31.92 eV per cell. As for the symmetry: Pmmm. The volume comes out at 14.897 Å³/atom.

---

No. 13
The following is a PBE calculation of a relaxed Tc2RuSe crystal, from the Alexandria database.

The structure in POSCAR format:
```
Tc2RuSe
1.0
-6.220 0.413 5.808
-7.065 -1.907 4.364
-5.128 -2.151 6.455
Ru Se Tc
1 1 2
Direct
0.250 0.250 0.250
0.750 0.750 0.750
0.002 0.002 0.002
0.498 0.498 0.498
```

The size of the total moment comes out at 0.000 μB/atom. Its crystal system is trigonal. The value obtained for the final energy is -32.56 eV per cell. As for the symmetry: R-3m. The volume comes out at 14.814 Å³/atom.

---

No. 14
The following is a PBE calculation of a relaxed Tc3RuSe crystal, from the Alexandria database.

The structure in POSCAR format:
```
Tc3RuSe
1.0
-2.566 -1.727 -3.501
3.234 -3.287 -0.749
-2.187 -2.835 3.001
Ru Tc Se
1 3 1
Direct
0.000 0.000 0.000
0.000 0.500 0.000
0.000 0.000 0.500
0.500 0.000 0.000
0.500 0.500 0.500
```

The size of the total moment comes out at 0.395 μB/atom. Its crystal system is cubic. The value obtained for the final energy is -34.93 eV per cell. As for the symmetry: Pm-3m. The excess energy over the best structure of this formula in the dataset comes out at 389 meV per atom. The volume comes out at 20.386 Å³/atom.